Density functional theory data (SCAN) for TaSiP2Cl at its PBEsol-relaxed geometry.

Unit cell a=4.4832 b=4.4832 c=4.3022 alpha=90.00 beta=90.00 gamma=90.00
Positions (direct):
Ta1 0.0000 0.0000 0.0000
Si1 0.5000 0.5000 0.5000
P1 0.0000 0.5000 0.5000
P2 0.5000 0.0000 0.5000
Cl1 0.5000 0.5000 0.0000

Results
SG: P4/mmm (123)
E_form (uncorrected) (eV/atom): 0.882
Total magnetization (μB per atom): 0.27
Crystal system: tetragonal

---

Density functional theory data (SCAN) for TiSiPCl2 at its PBEsol-relaxed geometry.

Unit cell a=4.5382 b=4.5382 c=5.0082 alpha=90.00 beta=90.00 gamma=90.00
Positions (direct):
Ti1 0.0000 0.0000 0.0000
Si1 0.5000 0.5000 0.5000
P1 0.0000 0.0000 0.5000
Cl1 0.0000 0.5000 0.0000
Cl2 0.5000 0.0000 0.0000

Results
SG: P4/mmm (123)
E_form (uncorrected) (eV/atom): -0.142
Energy relative to the lowest polymorph listed for this composition (meV per atom): 0
Total magnetization (μB per atom): 0.00
Crystal system: tetragonal

---

Density functional theory data (SCAN) for TiSiPCl2 at its PBEsol-relaxed geometry.

Unit cell a=4.5204 b=4.5204 c=4.7397 alpha=90.00 beta=90.00 gamma=90.00
Positions (direct):
Ti1 0.0000 0.0000 0.0000
Si1 0.5000 0.5000 0.5000
P1 0.5000 0.5000 0.0000
Cl1 0.0000 0.5000 0.5000
Cl2 0.5000 0.0000 0.5000

Results
SG: P4/mmm (123)
E_form (uncorrected) (eV/atom): 0.083
Energy relative to the lowest polymorph listed for this composition (meV per atom): 225
Total magnetization (μB per atom): 0.40
Crystal system: tetragonal